This record from Alexandria via LeMat-Bulk describes a relaxed structure of Ba2MgV2Si4O14. The functional is GGA+U.

- ρ (Mg/m³) = 3.85
- electronic total energy (eV per cell) = -169.533
- polymorph energy (0 for the lowest one) (meV per atom) = 109.1
- calculated volume (Å³ per cell) = 318
- size of the total moment (μB/f.u.) = 4.00

```
data_Ba2MgV2Si4O14
_symmetry_space_group_name_H-M 'P 1'
_symmetry_Int_Tables_number 1
_symmetry_space_group_name_Hall 'P 1'
_cell_length_a 5.6713
_cell_length_b 7.4292
_cell_length_c 8.2798
_cell_angle_alpha 102.53
_cell_angle_beta 109.35
_cell_angle_gamma 93.24
loop_
_atom_site_label
_atom_site_fract_x
_atom_site_fract_y
_atom_site_fract_z
Ba1 0.0000 0.0000 0.0000
Ba2 0.3180 0.6534 0.6494
Mg1 0.8745 0.2357 0.7282
V1 0.0036 0.5610 0.0950
V2 0.2691 0.1324 0.5352
Si1 0.5240 0.2473 0.0303
Si2 0.5265 0.8114 0.0898
Si3 0.7161 0.4089 0.4565
Si4 0.7587 0.8607 0.5088
O1 0.0489 0.9638 0.6121
O2 0.1510 0.5636 0.3137
O3 0.1680 0.0302 0.3080
O4 0.2387 0.7035 0.0026
O5 0.2450 0.2738 0.9101
O6 0.5189 0.0165 0.0278
O7 0.5502 0.3415 0.5689
O8 0.5970 0.3531 0.2414
O9 0.6033 0.9790 0.6227
O10 0.6466 0.8554 0.3020
O11 0.7085 0.7028 0.9973
O12 0.7541 0.3066 0.9615
O13 0.7588 0.6425 0.5317
O14 0.9847 0.3335 0.5459
```